1.
DFT (PBE) results for a relaxed AlPtC2Se crystal.

Computed properties:
Spin magnetization = 0.0000 μB per atom
Formation energy (no corrections) = 2114 meV per atom

Cell: 3.8440 3.8440 5.2657 Å, 90.00 90.00 90.00°
Last column: nearest neighbours and their distance in Å.
Space group P4/mmm (No. 123)
Inequivalent atoms, fractional coordinates:
Al 0.0000 0.0000 0.0000 [1 per cell]  2 Se 2.63, 4 Pt 2.72
Pt 0.5000 0.5000 0.0000 [1 per cell]  4 Al 2.72
C 0.0000 0.5000 0.5000 [2 per cell]  2 Se 1.92
Se 0.0000 0.0000 0.5000 [1 per cell]  4 C 1.92

2.
DFT (PBE) results for a relaxed CsH2CF crystal.

Computed properties:
Spin magnetization = 0.3083 μB per atom
Calculated total energy = -2.23 eV per atom

Cell: 3.8043 3.8043 6.1255 Å, 90.00 90.00 90.00°
Last column: nearest neighbours and their distance in Å.
Space group P4/mmm (No. 123)
Inequivalent atoms, fractional coordinates:
Cs 0.0000 0.0000 0.0000 [1 per cell]  4 C 2.69
H 0.0000 0.5000 0.5000 [2 per cell]  2 F 1.90
C 0.5000 0.5000 0.0000 [1 per cell]  4 Cs 2.69
F 0.0000 0.0000 0.5000 [1 per cell]  4 H 1.90

3.
DFT (PBE) results for a relaxed KZr2TaO crystal.

Computed properties:
Spin magnetization = 0.0001 μB per atom
Formation energy (no corrections) = 2708 meV per atom

Cell: 4.9228 4.9228 4.5411 Å, 90.00 90.00 90.00°
Last column: nearest neighbours and their distance in Å.
Space group P4/mmm (No. 123)
Inequivalent atoms, fractional coordinates:
K 0.0000 0.0000 0.0000 [1 per cell]  2 Ta 2.27, 4 Zr 2.46
Zr 0.0000 0.5000 0.0000 [2 per cell]  2 K 2.46
Ta 0.0000 0.0000 0.5000 [1 per cell]  2 K 2.27
O 0.5000 0.5000 0.5000 [1 per cell]  8 Zr 3.35, 4 Ta 3.48

4.
DFT (PBE) results for a relaxed Li2CrIn crystal.

Computed properties:
Spin magnetization = 1.1088 μB per atom
Energy of formation from the pure elements = 0.34 eV per atom

Cell: 3.1404 3.1404 27.9018 Å, 90.00 90.00 120.00°
Last column: nearest neighbours and their distance in Å.
Space group R-3m (No. 166, hexagonal axes)
Inequivalent atoms, fractional coordinates:
Li 0.0000 0.0000 0.2499 [6 per cell]  3 In 2.95, 3 Cr 2.95, 6 Li 3.14
Cr 0.0000 0.0000 0.0000 [3 per cell]  6 Li 2.95, 6 Cr 3.14
In 0.0000 0.0000 0.5000 [3 per cell]  6 Li 2.95, 6 In 3.14

5.
DFT (PBE) results for a relaxed PuNpPN crystal.

Computed properties:
Spin magnetization = 2.1232 μB per atom
Formation energy (no corrections) = -798 meV per atom

Cell: 3.7391 3.7391 5.3405 Å, 90.00 90.00 90.00°
Last column: nearest neighbours and their distance in Å.
Space group P4/mmm (No. 123)
Inequivalent atoms, fractional coordinates:
Pu 0.0000 0.0000 0.0000 [1 per cell]  4 P 2.64, 2 N 2.67
Np 0.5000 0.5000 0.5000 [1 per cell]  4 N 2.64, 2 P 2.67
P 0.5000 0.5000 0.0000 [1 per cell]  4 Pu 2.64, 2 Np 2.67
N 0.0000 0.0000 0.5000 [1 per cell]  4 Np 2.64, 2 Pu 2.67

6.
DFT (PBE) results for a relaxed CSe7 crystal.

Computed properties:
Spin magnetization = 0.0003 μB per atom
Formation energy (no corrections) = 1348 meV per atom

Cell: 8.4625 8.4625 8.4625 Å, 90.00 90.00 90.00°
Last column: nearest neighbours and their distance in Å.
Space group Fm-3m (No. 225)
Inequivalent atoms, fractional coordinates:
C 0.0000 0.0000 0.0000 [4 per cell]  12 Se 2.99
Se 0.0000 0.0000 0.5000 [4 per cell]  12 Se 2.99
Se 0.0000 0.2500 0.2500 [24 per cell]  10 Se 2.99, 2 C 2.99